*A*
Crystalline Sm3Tl3Hg2 at its relaxed geometry, computed with GGA-PBE.

The density of states at the Fermi level comes out at 5.03 states/eV/cell. The value obtained for the spin magnetization is 0.00 μB/f.u.

The space group is Pmmm (No. 47) and the conventional cell measures 5.158, 5.222 and 8.210 Å, with angles of 90.00, 90.00 and 90.00 degrees. The asymmetric unit holds Sm at (0.000, 0.000, 0.000), Sm at (0.000, 0.000, 0.500), Sm at (0.500, 0.500, 0.000), Tl at (0.500, 0.000, 0.249), Tl at (0.500, 0.500, 0.500) and Hg at (0.000, 0.500, 0.245).

*B*
Crystalline Sm3Tl3Hg2 at its relaxed geometry, computed with GGA-PBE.

The density of states at the Fermi level comes out at 6.11 states/eV/cell. The value obtained for the spin magnetization is 0.00 μB/f.u.

The space group is P-62m (No. 189) and the conventional cell measures 8.3622, 8.3622 and 3.7058 Å, with angles of 90.00, 90.00 and 120.00 degrees. The asymmetric unit holds Sm at (0.0000, 0.3839, 0.0000), Tl at (0.0000, 0.7606, 0.5000) and Hg at (0.3333, 0.6667, 0.5000).

*B* is the most stable structure; the next one sits 0.017 eV/atom above it.